Below is crystalline Ca2Tl2Zn at its relaxed geometry, with properties calculated at the PBE-GGA level.

Values from the calculation:
Polymorph energy (0 for the lowest one), eV per formula unit: 0.98
DOS(E_F), states/eV/f.u.: 4.48
Energy relative to the elements, eV per atom: -0.1209
Space-group type: P4/mbm (127)

Cell and atoms, written as extended XYZ:
```
10
Lattice="-5.2314 6.3062 -2.3747 -2.5074 0.9687 8.0962 3.0691 2.7788 0.6180" Properties=species:S:1:pos:R:3 pbc="T T T"
Ca -3.8489 4.3124 -0.2756
Ca -3.8899 2.9625 5.9971
Ca -1.6878 1.3349 2.3795
Ca -6.0510 5.9400 3.3420
Tl -0.6945 3.7848 0.6080
Tl -0.8177 2.9064 5.1693
Tl -3.8520 7.1472 1.1702
Tl -3.9752 6.2689 5.7315
Zn -3.8694 3.6374 2.8607
Zn 0.0000 0.0000 0.0000
```

Below is crystalline Ca4TlZn at its relaxed geometry, with properties calculated at the PBE-GGA level.

Values from the calculation:
Polymorph energy (0 for the lowest one), eV per formula unit: 0.71
DOS(E_F), states/eV/f.u.: 9.84
Energy relative to the elements, eV per atom: -0.1060
Space-group type: P-1 (2)

Cell and atoms, written as extended XYZ:
```
6
Lattice="5.3415 0.0000 0.0040 -0.0002 5.3420 0.0071 0.0119 0.0195 7.4678" Properties=species:S:1:pos:R:3 pbc="T T T"
Ca 2.6862 5.3466 5.5928
Ca 0.0072 2.6616 1.8594
Ca 2.6808 5.3285 1.8647
Ca 0.0179 2.6707 5.5873
Zn 0.0134 5.3363 3.7282
Tl 2.6891 2.6766 7.4595
```

Below is crystalline Ca3TlZn2 at its relaxed geometry, with properties calculated at the PBE-GGA level.

Values from the calculation:
Polymorph energy (0 for the lowest one), eV per formula unit: 0.02
DOS(E_F), states/eV/f.u.: 3.61
Energy relative to the elements, eV per atom: -0.3058
Space-group type: P4/mmm (123)

Cell and atoms, written as extended XYZ:
```
6
Lattice="3.7612 0.0000 0.0000 0.0000 3.7612 0.0000 0.0000 0.0000 11.1909" Properties=species:S:1:pos:R:3 pbc="T T T"
Zn 1.8806 1.8806 1.8174
Zn 1.8806 1.8806 9.3735
Ca 0.0000 0.0000 3.5739
Ca 0.0000 0.0000 7.6170
Ca 0.0000 0.0000 0.0000
Tl 1.8806 1.8806 5.5955
```

Below is crystalline Ca8Tl2Zn at its relaxed geometry, with properties calculated at the PBE-GGA level.

Values from the calculation:
Polymorph energy (0 for the lowest one), eV per formula unit: 0.00
DOS(E_F), states/eV/f.u.: 7.59
Energy relative to the elements, eV per atom: -0.2422
Space-group type: C2/m (12)

Cell and atoms, written as extended XYZ:
```
11
Lattice="-3.0662 4.4466 -0.5584 -6.1206 -4.0061 1.7070 5.3093 1.3747 8.1957" Properties=species:S:1:pos:R:3 pbc="T T T"
Ca -4.6240 -2.9691 1.7467
Ca 0.7465 4.7843 7.5976
Ca -3.5175 1.1422 2.0080
Ca -3.5799 1.5554 5.6411
Ca -0.3599 0.6731 7.3363
Ca -6.1529 -0.4343 3.9250
Ca 2.2755 2.2496 5.4193
Ca -0.2976 0.2598 3.7032
Zn -1.5331 2.2233 -0.2792
Tl -2.9254 -1.5088 4.0481
Tl -0.9521 3.3241 5.2962
```